(1)
The following is a GGA-PBEsol calculation of crystalline TcSn3F at its relaxed geometry, from the Alexandria database.

The structure in POSCAR format:
```
TcSn3F
1.0
-0.919 2.112 -4.111
-2.491 -3.757 -1.373
-3.893 1.905 1.849
Tc Sn F
1 3 1
Cartesian
-3.652 0.130 -1.817
-0.460 1.056 -2.056
-1.246 -1.879 -0.686
-1.947 0.953 0.925
0.000 0.000 0.000
```

The formation energy (no corrections) is 0.2356 eV/atom.

***

(2)
The following is a GGA-PBEsol calculation of crystalline BeSi2Hg at its relaxed geometry, from the Alexandria database.

The structure in POSCAR format:
```
BeSi2Hg
1.0
-2.506 1.155 0.453
-1.177 -2.905 0.894
1.822 1.327 6.702
Si Be Hg
2 1 1
Cartesian
-0.157 -0.626 0.729
-1.640 -1.240 2.721
0.484 -0.160 3.087
-0.226 0.814 5.311
```

The formation energy (no corrections) is 0.3623 eV/atom. Its energy above the most stable polymorph in this dataset is 0 kJ/mol of formula units.

***

(3)
The following is a GGA-PBEsol calculation of crystalline MoAs2BrF at its relaxed geometry, from the Alexandria database.

The structure in POSCAR format:
```
MoAs2BrF
1.0
-1.263 -3.804 2.592
4.533 -1.495 0.015
0.829 2.555 4.154
F Br As Mo
1 1 2 1
Cartesian
2.049 -1.372 3.381
0.414 1.278 2.077
-0.632 -1.902 1.296
2.267 -0.747 0.008
0.000 0.000 0.000
```

The formation energy (no corrections) is 0.1083 eV/atom.

***

(4)
The following is a GGA-PBEsol calculation of crystalline CaW6NCl18 at its relaxed geometry, from the Alexandria database.

The structure in POSCAR format:
```
CaW6NCl18
1.0
9.013 0.000 0.000
-4.506 7.805 0.000
0.000 0.000 17.678
Cl W Ca N
36 12 2 2
Cartesian
3.933 5.587 13.258
2.208 0.613 13.258
3.624 5.840 7.121
2.363 7.587 10.557
3.881 0.855 10.078
-2.872 6.200 4.419
0.522 7.409 13.258
0.573 2.218 4.419
7.752 1.747 7.121
2.858 4.157 4.419
6.677 3.252 4.419
6.332 2.934 16.439
1.200 3.789 1.239
3.881 0.855 16.439
1.200 3.789 7.600
7.752 1.747 1.718
-3.246 6.058 15.960
2.143 0.219 7.121
2.143 0.219 1.718
3.306 4.016 10.078
3.306 4.016 16.439
-3.246 6.058 10.557
6.332 2.934 10.078
2.363 7.587 15.960
0.882 1.965 10.557
3.984 0.397 4.419
-1.825 4.871 1.239
-2.171 4.553 13.258
0.625 6.950 7.600
0.882 1.965 15.960
1.649 3.649 13.258
7.378 1.606 13.258
2.299 7.193 4.419
-1.825 4.871 7.600
0.625 6.950 1.239
3.624 5.840 1.718
-0.508 3.768 5.948
1.497 5.481 2.891
-0.508 3.768 2.891
5.495 1.445 14.786
1.497 5.481 5.948
-0.989 6.361 5.948
3.010 2.324 11.730
5.014 4.037 14.786
-0.989 6.361 2.891
5.014 4.037 11.730
3.010 2.324 14.786
5.495 1.445 11.730
0.000 0.000 8.839
0.000 0.000 0.000
0.000 5.203 4.419
4.506 2.602 13.258
```

The formation energy (no corrections) is -0.9941 eV/atom.

***

(5)
The following is a GGA-PBEsol calculation of crystalline RbTeSe2Br at its relaxed geometry, from the Alexandria database.

The structure in POSCAR format:
```
RbTeSe2Br
1.0
-4.851 0.306 -2.272
1.772 -2.873 -4.171
-1.548 -4.811 2.656
Te Se Rb Br
1 2 1 1
Cartesian
0.000 0.000 0.000
0.886 -1.437 -2.085
-2.425 0.153 -1.136
-2.313 -3.689 -1.893
-0.774 -2.405 1.328
```

The formation energy (no corrections) is -0.4487 eV/atom.

***

(6)
The following is a GGA-PBEsol calculation of crystalline RhPb2Au at its relaxed geometry, from the Alexandria database.

The structure in POSCAR format:
```
RhPb2Au
1.0
4.171 0.000 0.000
0.000 4.171 0.000
-2.086 -2.086 4.692
Rh Pb Au
1 2 1
Cartesian
2.086 2.086 0.000
2.086 0.000 2.346
0.000 0.000 0.000
0.000 2.086 2.346
```

As for the uncorrected energy: -19.29 eV/cell.

***

(7)
The following is a GGA-PBEsol calculation of crystalline TlCr2Si at its relaxed geometry, from the Alexandria database.

The structure in POSCAR format:
```
TlCr2Si
1.0
3.758 0.000 0.000
0.000 3.758 0.000
-1.879 -1.879 4.303
Tl Cr Si
1 2 1
Cartesian
0.000 1.879 2.151
1.879 0.000 2.151
0.000 0.000 0.000
1.879 1.879 0.000
```

The formation energy (no corrections) is 0.6109 eV/atom.

***

(8)
The following is a GGA-PBEsol calculation of crystalline AsP4Au at its relaxed geometry, from the Alexandria database.

The structure in POSCAR format:
```
AsP4Au
1.0
5.264 0.000 0.000
2.632 4.559 0.000
2.632 1.520 4.298
P Au As
4 1 1
Cartesian
5.264 4.757 1.542
3.776 2.180 1.542
6.752 2.180 1.542
5.264 3.039 3.971
0.000 0.000 0.000
7.896 4.559 3.224
```

As for the uncorrected energy: -27.94 eV/cell.

***

(9)
The following is a GGA-PBEsol calculation of crystalline Ga2MoPtO at its relaxed geometry, from the Alexandria database.

The structure in POSCAR format:
```
Ga2MoPtO
1.0
4.619 0.000 0.000
0.000 4.619 0.000
0.000 0.000 5.087
Pt Ga O Mo
1 2 1 1
Cartesian
0.000 0.000 0.000
2.309 0.000 0.000
0.000 2.309 0.000
2.309 2.309 2.543
0.000 0.000 2.543
```

The formation energy (no corrections) is 0.9241 eV/atom.

***

(10)
The following is a GGA-PBEsol calculation of crystalline KZn2In2 at its relaxed geometry, from the Alexandria database.

The structure in POSCAR format:
```
KZn2In2
1.0
-3.434 2.712 1.493
1.325 -0.728 4.369
4.560 3.611 -3.227
In Zn K
2 2 1
Cartesian
-0.172 2.151 2.857
2.623 3.444 -0.222
2.415 1.937 2.036
0.036 3.657 0.598
0.000 0.000 0.000
```

Its energy above the most stable polymorph in this dataset is 20 kJ/mol of formula units.

***

(11)
The following is a GGA-PBEsol calculation of crystalline SrTaNO2 at its relaxed geometry, from the Alexandria database.

The structure in POSCAR format:
```
SrTaNO2
1.0
-2.620 0.398 5.028
1.316 -5.383 1.265
6.869 2.495 3.350
O Ta N Sr
8 4 4 4
Cartesian
6.246 1.086 4.898
2.204 -1.816 1.634
-1.728 -0.913 4.175
-0.697 -3.551 4.760
4.986 -3.061 6.454
3.389 0.185 3.293
2.159 -2.651 6.365
3.677 -2.560 3.965
1.550 -1.010 7.294
0.084 -5.148 3.738
7.480 -0.279 3.993
2.078 1.364 4.199
0.545 0.620 3.220
1.844 0.133 5.718
3.327 -0.624 8.041
0.380 -4.008 2.159
1.113 -1.904 3.962
2.579 2.234 7.518
-0.891 0.971 5.831
4.511 -0.673 5.624
```

The formation energy (no corrections) is -2.4832 eV/atom.

***

(12)
The following is a GGA-PBEsol calculation of crystalline LaTa2P at its relaxed geometry, from the Alexandria database.

The structure in POSCAR format:
```
LaTa2P
1.0
-0.814 0.568 -3.177
-2.616 -1.552 -1.351
-6.184 6.049 0.923
La Ta P
1 2 1
Cartesian
-4.667 2.355 -1.870
-7.385 4.020 -2.619
-3.580 -0.795 -4.456
-2.220 1.034 -0.990
```

As for the uncorrected energy: -36.59 eV/cell.

***

(13)
The following is a GGA-PBEsol calculation of crystalline Zr2AlB at its relaxed geometry, from the Alexandria database.

The structure in POSCAR format:
```
Zr2AlB
1.0
5.686 -0.078 0.000
-2.839 4.927 0.000
-1.424 -2.425 4.943
B Zr Al
2 4 2
Cartesian
1.424 2.425 0.000
2.843 -0.039 2.471
1.603 3.135 2.266
-2.310 0.541 4.738
3.022 0.671 0.205
0.533 0.502 2.676
-1.419 2.464 2.471
0.000 0.000 0.000
```

As for the uncorrected energy: -58.42 eV/cell.

***

(14)
The following is a GGA-PBEsol calculation of crystalline NiIrW2 at its relaxed geometry, from the Alexandria database.

The structure in POSCAR format:
```
NiIrW2
1.0
-1.096 -2.496 -0.020
0.909 1.124 -4.380
4.218 -1.862 1.199
W Ni Ir
2 1 1
Cartesian
0.132 -0.058 -0.002
3.258 -1.421 -1.299
0.620 -1.746 -1.917
2.491 -1.064 -3.773
```

As for the uncorrected energy: -43.77 eV/cell.

***

(15)
The following is a GGA-PBEsol calculation of crystalline Mg16Al12Au at its relaxed geometry, from the Alexandria database.

The structure in POSCAR format:
```
Mg16Al12Au
1.0
8.973 -0.005 -0.027
-2.914 8.485 -0.051
-2.955 -4.115 7.452
Mg Al Au
16 12 1
Cartesian
-0.990 -1.378 2.595
-1.352 2.912 5.088
3.329 4.666 2.144
6.250 0.206 4.433
-1.681 0.922 7.338
-1.843 5.987 4.416
4.049 1.789 2.963
3.099 4.358 7.348
1.834 2.581 4.918
3.180 -0.324 5.098
1.398 -1.276 7.344
-3.960 -1.100 7.395
0.371 4.415 2.955
4.434 -1.282 2.378
-2.657 3.783 2.363
0.224 -4.088 7.404
-1.185 6.184 1.358
3.332 6.975 0.053
3.242 -3.322 6.096
1.698 2.380 1.282
-4.210 2.000 6.081
-0.513 1.641 2.693
1.712 0.053 2.699
5.519 5.414 0.058
-1.286 -1.784 6.045
6.231 0.887 1.373
-4.242 4.283 4.708
5.416 -2.615 4.728
0.089 0.140 4.859
```

As for the uncorrected energy: -82.14 eV/cell.

***

(16)
The following is a GGA-PBEsol calculation of crystalline YCrOs2 at its relaxed geometry, from the Alexandria database.

The structure in POSCAR format:
```
YCrOs2
1.0
-2.540 -3.562 -0.884
-1.122 -2.811 3.280
-4.214 -0.155 1.463
Os Cr Y
2 1 1
Cartesian
-5.907 -4.896 2.894
-1.969 -1.632 0.965
-3.938 -3.264 1.930
0.000 0.000 0.000
```

Its energy above the most stable polymorph in this dataset is 3 kJ/mol of formula units.

***

(17)
The following is a GGA-PBEsol calculation of crystalline InRuS2 at its relaxed geometry, from the Alexandria database.

The structure in POSCAR format:
```
InRuS2
1.0
-2.134 1.990 1.888
0.455 0.263 3.435
4.070 6.733 0.702
Ru In S
1 1 2
Cartesian
1.196 4.493 3.013
0.000 0.000 0.000
-0.085 4.312 4.954
2.477 4.674 1.071
```

The formation energy (no corrections) is -0.2636 eV/atom.

***

(18)
The following is a GGA-PBEsol calculation of crystalline Li2TeCl at its relaxed geometry, from the Alexandria database.

The structure in POSCAR format:
```
Li2TeCl
1.0
-3.214 -0.319 3.412
3.201 -3.770 -0.571
1.597 3.999 1.879
Cl Li Te
1 2 1
Cartesian
0.000 0.000 0.000
1.995 1.035 1.976
-0.411 -1.124 2.743
-0.808 1.840 2.645
```

The formation energy (no corrections) is -0.8080 eV/atom. Its energy above the most stable polymorph in this dataset is 162 kJ/mol of formula units.

***

(19)
The following is a GGA-PBEsol calculation of crystalline CrP2RhS at its relaxed geometry, from the Alexandria database.

The structure in POSCAR format:
```
CrP2RhS
1.0
4.385 0.000 0.000
0.000 4.385 0.000
0.000 0.000 4.991
Rh S P Cr
1 1 2 1
Cartesian
0.000 0.000 0.000
0.000 0.000 2.496
2.192 0.000 0.000
0.000 2.192 0.000
2.192 2.192 2.496
```

The formation energy (no corrections) is 0.7066 eV/atom.

***

(20)
The following is a GGA-PBEsol calculation of crystalline KNaP2Cl at its relaxed geometry, from the Alexandria database.

The structure in POSCAR format:
```
KNaP2Cl
1.0
5.039 0.000 0.000
0.000 5.039 0.000
0.000 0.000 5.458
Cl Na P K
1 1 2 1
Cartesian
0.000 0.000 2.729
0.000 0.000 0.000
2.520 0.000 0.000
0.000 2.520 0.000
2.520 2.520 2.729
```

The formation energy (no corrections) is 0.3381 eV/atom.